(1)
A relaxed structure of Ca2Al, computed with PBE.

Output
The symmetry is P-3m1, No. 164. As for the density of states at the Fermi level: 1.39 states/eV per cell. The value obtained for the formation energy is -0.029 eV/atom.

Cell lengths 5.365, 5.365, 3.543 Å; angles 90.00, 90.00, 120.00 degrees
Atoms (fractional coordinates):
Ca 0.333 0.667 0.190
Ca 0.667 0.333 0.810
Al 0.000 0.000 0.500



(2)
A relaxed structure of Ca2Al, computed with PBE.

Output
The symmetry is I4_1/amd, No. 141. As for the density of states at the Fermi level: 4.89 states/eV per cell. The value obtained for the formation energy is -0.077 eV/atom.

Cell lengths 14.950, 14.950, 14.950 Å; angles 166.08, 166.08, 19.73 degrees
Atoms (fractional coordinates):
Ca 0.310 0.560 0.750
Ca 0.440 0.690 0.750
Ca 0.560 0.310 0.250
Ca 0.690 0.440 0.250
Al 0.125 0.875 0.250
Al 0.875 0.125 0.750



(3)
A relaxed structure of CaAl, computed with PBE.

Output
The symmetry is Fm-3m, No. 225. As for the density of states at the Fermi level: 2.02 states/eV per cell. The value obtained for the formation energy is 0.258 eV/atom.

Cell lengths 4.439, 4.439, 4.439 Å; angles 60.00, 60.00, 60.00 degrees
Atoms (fractional coordinates):
Ca 0.000 0.000 0.000
Al 0.500 0.500 0.500



(4)
A relaxed structure of Ca3Al5, computed with PBE.

Output
The symmetry is P6_3/mcm, No. 193. As for the density of states at the Fermi level: 10.16 states/eV per cell. The value obtained for the formation energy is -0.044 eV/atom. The energy above the most stable polymorph in this dataset comes out at 4.7 kJ per mole of atoms.

Cell lengths 9.965, 9.965, 4.923 Å; angles 90.00, 90.00, 120.00 degrees
Atoms (fractional coordinates):
Ca 0.000 0.365 0.250
Ca 0.000 0.635 0.750
Ca 0.365 0.000 0.250
Ca 0.365 0.365 0.750
Ca 0.635 0.000 0.750
Ca 0.635 0.635 0.250
Al 0.000 0.156 0.750
Al 0.000 0.844 0.250
Al 0.156 0.000 0.750
Al 0.156 0.156 0.250
Al 0.333 0.667 0.000
Al 0.333 0.667 0.500
Al 0.667 0.333 0.000
Al 0.667 0.333 0.500
Al 0.844 0.000 0.250
Al 0.844 0.844 0.750



(5)
A relaxed structure of CaAl3, computed with PBE.

Output
The symmetry is P4/mmm, No. 123. As for the density of states at the Fermi level: 1.90 states/eV per cell. The value obtained for the formation energy is -0.110 eV/atom.

Cell lengths 3.514, 3.514, 6.878 Å; angles 90.00, 90.00, 90.00 degrees
Atoms (fractional coordinates):
Ca 0.000 0.000 0.000
Al 0.000 0.000 0.500
Al 0.500 0.500 0.307
Al 0.500 0.500 0.693



(6)
A relaxed structure of Ca2Al3, computed with PBE.

Output
The symmetry is Fdd2, No. 43. As for the density of states at the Fermi level: 4.59 states/eV per cell. The value obtained for the formation energy is -0.253 eV/atom.

Cell lengths 8.529, 5.892, 9.424 Å; angles 62.78, 37.91, 79.31 degrees
Atoms (fractional coordinates):
Ca 0.121 0.879 0.279
Ca 0.529 0.971 0.371
Ca 0.879 0.121 0.721
Ca 0.971 0.529 0.129
Al 0.220 0.220 0.780
Al 0.457 0.555 0.295
Al 0.470 0.470 0.030
Al 0.555 0.457 0.693
Al 0.557 0.955 0.695
Al 0.955 0.557 0.793